A relaxed structure of BaScAu2. Source: Alexandria, functional PBE.

Results
- formation enthalpy at 0 K (eV/atom) = -0.21
- excess energy over the best structure of this formula in the dataset (meV per atom) = 450
- space group = F-43m, No. 216
- raw total energy (eV per atom) = -3.917
- M_tot (μB per cell) = 0.0

Cell: 5.1036 5.1036 5.1036 Å, 60.00 60.00 60.00°
Closest atoms and distances in Å follow each position.
Positions (direct):
Ba 0.0000 0.0000 0.0000  4 Sc 3.13, 4 Au 3.13
Sc 0.7500 0.7500 0.7500  4 Ba 3.13, 4 Au 3.13
Au 0.2500 0.2500 0.2500  4 Ba 3.13, 4 Au 3.13
Au 0.5000 0.5000 0.5000  4 Sc 3.13, 4 Au 3.13